# Li2PuCd2Bi2 (GGA-PBE, relaxed)
data_Li2PuCd2Bi2
_chemical_formula_sum 'Li2 Pu1 Cd2 Bi2'
_cell_length_a 4.8176
_cell_length_b 4.8176
_cell_length_c 9.0843
_cell_angle_alpha 74.62
_cell_angle_beta 74.62
_cell_angle_gamma 60.00
_symmetry_space_group_name_H-M 'P 1'
_symmetry_Int_Tables_number 1
loop_
_symmetry_equiv_pos_as_xyz
'x,y,z'
loop_
_atom_site_label
_atom_site_fract_x
_atom_site_fract_y
_atom_site_fract_z
_atom_site_occupancy
Li1 0.4318 0.4318 0.7047 1
Li2 0.5682 0.5682 0.2953 1
Bi1 0.2723 0.2723 0.1832 1
Bi2 0.7277 0.7277 0.8168 1
Cd1 0.8582 0.8582 0.4255 1
Cd2 0.1418 0.1418 0.5745 1
Pu1 0.0000 0.0000 0.0000 1
# Energy of formation in meV/atom: -237
# Crystal system: trigonal
# M_tot in Bohr magnetons per cell: 5.62
# Mass density in g cm⁻³: 8.60
# Total energy in eV per cell: -29.4